## Mg2TcMoW (GGA-PBE)

Data for crystalline Mg2TcMoW at its relaxed geometry.

Values from the calculation:
total magnetic moment = 2.8 μB/f.u.
formation energy from the elements = 1780 meV/atom

a b c (Å): 4.962 4.962 4.599
angles (deg): 90.00 90.00 90.00
Space group P4/mmm (No. 123)
Asymmetric unit:
Mg1 0.000 0.500 0.000
Tc1 0.000 0.000 0.500
Mo1 0.500 0.500 0.000
W1 0.500 0.500 0.500